# 1
Entry from Alexandria: a relaxed structure of RbCa2Tl2 (PBE).

The structure belongs to space group I4/mmm (No. 139); the cell edges are 5.931, 5.931 and 12.414 Å and the angles 90.00°, 90.00° and 90.00°. The distinct sites, in fractional coordinates, are Rb at (0.000, 0.000, 0.000), Ca at (0.000, 0.000, 0.344) and Tl at (0.000, 0.500, 0.250).

Its theoretical density is 4.37 Mg/m³. The calculation puts the total magnetization at 0.00 μB/f.u. The value obtained for the energy above the lowest structure with this stoichiometry is 188 meV/atom.



# 2
Entry from Alexandria: a relaxed structure of RbCa2Tl2 (PBE).

The structure belongs to space group P4/mbm (No. 127); the cell edges are 9.663, 9.663 and 3.729 Å and the angles 90.00°, 90.00° and 90.00°. The distinct sites, in fractional coordinates, are Rb at (0.000, 0.000, 0.000), Ca at (0.135, 0.365, 0.000) and Tl at (0.160, 0.660, 0.500).

Its theoretical density is 5.48 Mg/m³. The calculation puts the total magnetization at 0.00 μB/f.u. The value obtained for the energy above the lowest structure with this stoichiometry is 0 meV/atom.



# 3
Entry from Alexandria: a relaxed structure of RbCa2Tl2 (PBE).

The structure belongs to space group P4/mbm (No. 127); the cell edges are 9.544, 9.544 and 3.971 Å and the angles 90.00°, 90.00° and 90.00°. The distinct sites, in fractional coordinates, are Rb at (0.000, 0.000, 0.000), Ca at (0.157, 0.343, 0.500) and Tl at (0.133, 0.633, 0.000).

Its theoretical density is 5.27 Mg/m³. The calculation puts the total magnetization at 0.00 μB/f.u. The value obtained for the energy above the lowest structure with this stoichiometry is 16 meV/atom.



# 4
Entry from Alexandria: a relaxed structure of RbCaTl3 (PBE).

The structure belongs to space group Pm-3m (No. 221); the cell edges are 6.205, 6.205 and 6.205 Å and the angles 90.00°, 90.00° and 90.00°. The distinct sites, in fractional coordinates, are Rb at (0.000, 0.000, 0.000), Ca at (0.500, 0.500, 0.500) and Tl at (0.000, 0.000, 0.500).

Its theoretical density is 5.13 Mg/m³. The calculation puts the total magnetization at 0.00 μB/f.u. The value obtained for the energy above the lowest structure with this stoichiometry is 449 meV/atom.



# 5
Entry from Alexandria: a relaxed structure of RbCaV2 (PBE).

The structure belongs to space group Fm-3m (No. 225); the cell edges are 7.980, 7.980 and 7.980 Å and the angles 90.00°, 90.00° and 90.00°. The distinct sites, in fractional coordinates, are Rb at (0.000, 0.000, 0.000), Ca at (0.000, 0.000, 0.500) and V at (0.250, 0.250, 0.250).

Its theoretical density is 2.97 Mg/m³. The calculation puts the total magnetization at 8.75 μB/f.u. The value obtained for the energy above the lowest structure with this stoichiometry is 0 meV/atom.



# 6
Entry from Alexandria: a relaxed structure of RbCaV (PBE).

The structure belongs to space group F-43m (No. 216); the cell edges are 8.180, 8.180 and 8.180 Å and the angles 90.00°, 90.00° and 90.00°. The distinct sites, in fractional coordinates, are Rb at (0.000, 0.000, 0.000), Ca at (0.000, 0.000, 0.500) and V at (0.250, 0.250, 0.750).

Its theoretical density is 2.14 Mg/m³. The calculation puts the total magnetization at 5.17 μB/f.u. The value obtained for the energy above the lowest structure with this stoichiometry is 733 meV/atom.



# 7
Entry from Alexandria: a relaxed structure of RbCaV (PBE).

The structure belongs to space group P6_3/mmc (No. 194); the cell edges are 6.9381, 6.9381 and 11.7519 Å and the angles 90.00°, 90.00° and 120.00°. The distinct sites, in fractional coordinates, are Rb at (0.3333, 0.6667, 0.2500), Ca at (0.0000, 0.0000, 0.2500) and V at (0.0000, 0.0000, 0.0000).

Its theoretical density is 1.20 Mg/m³. The calculation puts the total magnetization at 5.55 μB/f.u. The value obtained for the energy above the lowest structure with this stoichiometry is 1219 meV/atom.



# 8
Entry from Alexandria: a relaxed structure of RbCaV (PBE).

The structure belongs to space group P1 (No. 1); the cell edges are 4.188, 5.767 and 12.687 Å and the angles 102.10°, 93.07° and 107.02°. The distinct sites, in fractional coordinates, are Rb at (0.000, 0.000, 0.000), Rb at (0.327, 0.346, 0.701), Ca at (0.481, 0.061, 0.296), Ca at (0.815, 0.693, 0.460), V at (0.147, 0.487, 0.257) and V at (0.779, 0.568, 0.210).

Its theoretical density is 2.06 Mg/m³. The calculation puts the total magnetization at 0.00 μB/f.u. The value obtained for the energy above the lowest structure with this stoichiometry is 160 meV/atom.



# 9
Entry from Alexandria: a relaxed structure of RbCaV (PBE).

The structure belongs to space group Pnma (No. 62); the cell edges are 12.781, 3.946 and 11.410 Å and the angles 90.00°, 90.00° and 90.00°. The distinct sites, in fractional coordinates, are Rb at (0.008, 0.250, 0.198), Ca at (0.212, 0.750, 0.471) and V at (0.028, 0.250, 0.521).

Its theoretical density is 2.04 Mg/m³. The calculation puts the total magnetization at 0.00 μB/f.u. The value obtained for the energy above the lowest structure with this stoichiometry is 369 meV/atom.



# 10
Entry from Alexandria: a relaxed structure of RbCaV3 (PBE).

The structure belongs to space group Pm-3m (No. 221); the cell edges are 4.694, 4.694 and 4.694 Å and the angles 90.00°, 90.00° and 90.00°. The distinct sites, in fractional coordinates, are Rb at (0.000, 0.000, 0.000), Ca at (0.500, 0.500, 0.500) and V at (0.000, 0.000, 0.500).

Its theoretical density is 4.47 Mg/m³. The calculation puts the total magnetization at 0.00 μB/f.u. The value obtained for the energy above the lowest structure with this stoichiometry is 315 meV/atom.



# 11
Entry from Alexandria: a relaxed structure of RbCaV (PBE).

The structure belongs to space group C2/m (No. 12); the cell edges are 9.673, 5.608 and 10.591 Å and the angles 90.00°, 90.06° and 90.00°. The distinct sites, in fractional coordinates, are Rb at (0.167, 0.000, 0.333), Ca at (0.167, 0.000, 0.941) and V at (0.000, 0.500, 0.087).

Its theoretical density is 2.04 Mg/m³. The calculation puts the total magnetization at 0.00 μB/f.u. The value obtained for the energy above the lowest structure with this stoichiometry is 176 meV/atom.



# 12
Entry from Alexandria: a relaxed structure of Rb3CaV (PBE).

The structure belongs to space group Pm-3m (No. 221); the cell edges are 6.952, 6.952 and 6.952 Å and the angles 90.00°, 90.00° and 90.00°. The distinct sites, in fractional coordinates, are Rb at (0.000, 0.000, 0.500), Ca at (0.500, 0.500, 0.500) and V at (0.000, 0.000, 0.000).

Its theoretical density is 1.72 Mg/m³. The calculation puts the total magnetization at 5.27 μB/f.u. The value obtained for the energy above the lowest structure with this stoichiometry is 0 meV/atom.



| no. | energy of formation from the pure elements (eV per formula unit) | electronic total energy (eV per atom) |
| --- | --- | --- |
| 1 | -0.09 | -1.958 |
| 2 | -1.03 | -2.146 |
| 3 | -0.95 | -2.130 |
| 4 | 2.94 | -1.426 |
| 5 | 5.74 | -3.867 |
| 6 | 3.60 | -2.831 |
| 7 | 5.05 | -2.345 |
| 8 | 1.88 | -3.403 |
| 9 | 2.50 | -3.194 |
| 10 | 11.85 | -3.694 |
| 11 | 1.93 | -3.388 |
| 12 | 4.75 | -1.854 |